# TaBi3S

A relaxed structure of TaBi3S (PBE-GGA, the Alexandria database).

Output
E_form (uncorrected) = 0.617 eV/atom
Excess energy over the best structure of this formula in the dataset = 0.00 eV/f.u.
Space-group type = Pm-3m

Lattice parameters (Å, degrees): 5.429 5.429 5.429 90.00 90.00 90.00
Positions (direct):
1 Ta 0.000 0.000 0.000
2 Bi 0.000 0.000 0.500
3 Bi 0.000 0.500 0.000
4 Bi 0.500 0.000 0.000
5 S 0.500 0.500 0.500

---

# TaBiS2

A relaxed structure of TaBiS2 (PBE-GGA, the Alexandria database).

Output
E_form (uncorrected) = -0.017 eV/atom
Space-group type = I-42d

Lattice parameters (Å, degrees): 6.968 6.968 6.968 125.29 125.29 81.06
Positions (direct):
1 Ta 0.000 0.000 0.000
2 Ta 0.750 0.250 0.500
3 Bi 0.250 0.750 0.500
4 Bi 0.500 0.500 0.000
5 S 0.042 0.625 0.917
6 S 0.375 0.292 0.417
7 S 0.708 0.125 0.083
8 S 0.875 0.958 0.583

---

# TaBiS2

A relaxed structure of TaBiS2 (PBE-GGA, the Alexandria database).

Output
E_form (uncorrected) = -0.720 eV/atom
Space-group type = P1

Lattice parameters (Å, degrees): 3.379 6.031 9.129 96.93 100.60 90.02
Positions (direct):
1 Ta 0.000 0.000 0.000
2 Ta 0.500 0.419 0.000
3 Bi 0.282 0.710 0.501
4 Bi 0.663 0.209 0.500
5 S 0.079 0.657 0.156
6 S 0.424 0.762 0.844
7 S 0.591 0.153 0.185
8 S 0.907 0.266 0.815

---

# Ta3BiS

A relaxed structure of Ta3BiS (PBE-GGA, the Alexandria database).

Output
E_form (uncorrected) = 0.413 eV/atom
Excess energy over the best structure of this formula in the dataset = 0.00 eV/f.u.
Space-group type = Pm-3m

Lattice parameters (Å, degrees): 4.640 4.640 4.640 90.00 90.00 90.00
Positions (direct):
1 Ta 0.000 0.000 0.500
2 Ta 0.000 0.500 0.000
3 Ta 0.500 0.000 0.000
4 Bi 0.500 0.500 0.500
5 S 0.000 0.000 0.000

---

# Ta3BiS

A relaxed structure of Ta3BiS (PBE-GGA, the Alexandria database).

Output
E_form (uncorrected) = 2.618 eV/atom
Excess energy over the best structure of this formula in the dataset = 11.02 eV/f.u.
Space-group type = Pm-3m

Lattice parameters (Å, degrees): 5.174 5.174 5.174 90.00 90.00 90.00
Positions (direct):
1 Ta 0.000 0.000 0.500
2 Ta 0.000 0.500 0.000
3 Ta 0.500 0.000 0.000
4 Bi 0.000 0.000 0.000
5 S 0.500 0.500 0.500

---

# TaBiS2

A relaxed structure of TaBiS2 (PBE-GGA, the Alexandria database).

Output
E_form (uncorrected) = -0.630 eV/atom
Space-group type = R3m

Lattice parameters (Å, degrees): 10.210 10.210 10.210 18.88 18.88 18.88
Positions (direct):
1 Ta 0.000 0.000 0.000
2 Bi 0.828 0.828 0.828
3 S 0.385 0.385 0.385
4 S 0.615 0.615 0.615

---

# TaTl3Bi3S8

A relaxed structure of TaTl3Bi3S8 (PBE-GGA, the Alexandria database).

Output
E_form (uncorrected) = -0.494 eV/atom
Space-group type = R-3m

Lattice parameters (Å, degrees): 8.886 8.886 8.886 53.92 53.92 53.92
Positions (direct):
1 Ta 0.000 0.000 0.000
2 Tl 0.000 0.000 0.500
3 Tl 0.000 0.500 0.000
4 Tl 0.500 0.000 0.000
5 Bi 0.000 0.500 0.500
6 Bi 0.500 0.000 0.500
7 Bi 0.500 0.500 0.000
8 S 0.211 0.211 0.765
9 S 0.211 0.765 0.211
10 S 0.235 0.789 0.789
11 S 0.262 0.262 0.262
12 S 0.738 0.738 0.738
13 S 0.765 0.211 0.211
14 S 0.789 0.235 0.789
15 S 0.789 0.789 0.235

---

# Y2TaBiS

A relaxed structure of Y2TaBiS (PBE-GGA, the Alexandria database).

Output
E_form (uncorrected) = 1.168 eV/atom
Space-group type = P4/mmm

Lattice parameters (Å, degrees): 5.818 5.818 5.199 90.00 90.00 90.00
Positions (direct):
1 Y 0.000 0.500 0.000
2 Y 0.500 0.000 0.000
3 Ta 0.000 0.000 0.500
4 Bi 0.500 0.500 0.000
5 S 0.500 0.500 0.500

---

Repeat the third record exactly.
# TaBiS2

A relaxed structure of TaBiS2 (PBE-GGA, the Alexandria database).

Output
E_form (uncorrected) = -0.720 eV/atom
Space-group type = P1

Lattice parameters (Å, degrees): 3.379 6.031 9.129 96.93 100.60 90.02
Positions (direct):
1 Ta 0.000 0.000 0.000
2 Ta 0.500 0.419 0.000
3 Bi 0.282 0.710 0.501
4 Bi 0.663 0.209 0.500
5 S 0.079 0.657 0.156
6 S 0.424 0.762 0.844
7 S 0.591 0.153 0.185
8 S 0.907 0.266 0.815

---

Question: Which of these has the lowest E_form (uncorrected)?
Answer: number 3

---

Question: Which of these has the highest E_form (uncorrected)?
Answer: number 5

---

Please write out number 3 again, unchanged.
# TaBiS2

A relaxed structure of TaBiS2 (PBE-GGA, the Alexandria database).

Output
E_form (uncorrected) = -0.720 eV/atom
Space-group type = P1

Lattice parameters (Å, degrees): 3.379 6.031 9.129 96.93 100.60 90.02
Positions (direct):
1 Ta 0.000 0.000 0.000
2 Ta 0.500 0.419 0.000
3 Bi 0.282 0.710 0.501
4 Bi 0.663 0.209 0.500
5 S 0.079 0.657 0.156
6 S 0.424 0.762 0.844
7 S 0.591 0.153 0.185
8 S 0.907 0.266 0.815